1.
Ag3Br | PBE | relaxed

Summary:
The relative energy among the computed polymorphs is 0 meV/atom. Its volume is 22.7 A^3/atom.

Cell lengths 3.5842, 3.5995, 7.0297 Å; angles 90.00, 90.48, 90.00 degrees
Space group P2/m (No. 10)
One atom of each set of equivalent atoms:
Ag1 0.0000 0.0000 0.0000 (multiplicity 1)
Ag2 0.4969 0.5000 0.8025 (multiplicity 2)
Br1 0.5000 0.0000 0.5000 (multiplicity 1)

2.
GeHCl2 | PBE | relaxed

Summary:
The relative energy among the computed polymorphs is 556 meV/atom. Its volume is 19.1 A^3/atom.

Cell lengths 5.7982, 5.7982, 9.0929 Å; angles 90.00, 90.00, 90.00 degrees
Space group I-42d (No. 122)
One atom of each set of equivalent atoms:
Ge1 0.0000 0.0000 0.0000 (multiplicity 4)
H1 0.0000 0.0000 0.5000 (multiplicity 4)
Cl1 0.1445 0.2500 0.6250 (multiplicity 8)

3.
PaNb2H8 | PBE | relaxed

Summary:
The relative energy among the computed polymorphs is 4 meV/atom. Its volume is 8.1 A^3/atom.

Cell lengths 5.8344, 9.2066, 3.3100 Å; angles 90.00, 93.64, 90.00 degrees
Space group C2/m (No. 12)
One atom of each set of equivalent atoms:
Pa1 0.0000 0.0000 0.0000 (multiplicity 2)
Nb1 0.0000 0.3427 0.5000 (multiplicity 4)
H1 0.0000 0.2434 0.0000 (multiplicity 4)
H2 0.1245 0.5000 0.8226 (multiplicity 4)
H3 0.1645 0.1445 0.5263 (multiplicity 8)

4.
Nb3Ga | PBE | relaxed

Summary:
As for the formation enthalpy at 0 K: -54.3 kJ/mol of formula units. Its volume is 17.7 A^3/atom.

Cell lengths 6.0235, 3.4598, 6.7916 Å; angles 90.00, 92.78, 90.00 degrees
Space group P2_1/m (No. 11)
One atom of each set of equivalent atoms:
Nb1 0.1203 0.2500 0.3690 (multiplicity 2)
Nb2 0.1433 0.2500 0.8759 (multiplicity 2)
Nb3 0.3786 0.7500 0.1468 (multiplicity 2)
Ga1 0.3667 0.7500 0.6137 (multiplicity 2)

5.
Er8Mg2Cd | PBE | relaxed

Summary:
As for the formation enthalpy at 0 K: -66.3 kJ/mol of formula units. Its volume is 28.2 A^3/atom.

Cell lengths 16.1009, 5.3173, 8.4464 Å; angles 90.00, 120.86, 90.00 degrees
Space group C2/m (No. 12)
One atom of each set of equivalent atoms:
Er1 0.0650 0.0000 0.2212 (multiplicity 4)
Er2 0.0916 0.5000 0.9529 (multiplicity 4)
Er3 0.1349 0.0000 0.6792 (multiplicity 4)
Er4 0.1816 0.5000 0.4430 (multiplicity 4)
Mg1 0.2284 0.0000 0.1174 (multiplicity 4)
Cd1 0.0000 0.5000 0.5000 (multiplicity 2)

6.
Be2ReH | PBE | relaxed

Summary:
The relative energy among the computed polymorphs is 893 meV/atom. Its volume is 9.7 A^3/atom.

Cell lengths 5.3657, 5.3657, 5.3657 Å; angles 90.00, 90.00, 90.00 degrees
Space group Fm-3m (No. 225)
One atom of each set of equivalent atoms:
Be1 0.2500 0.2500 0.2500 (multiplicity 8)
Re1 0.0000 0.0000 0.0000 (multiplicity 4)
H1 0.0000 0.0000 0.5000 (multiplicity 4)

7.
KHg14Pb | PBE | relaxed

Summary:
As for the formation enthalpy at 0 K: -38.6 kJ/mol of formula units. Its volume is 30.7 A^3/atom.

Cell lengths 11.4334, 12.0866, 14.2117 Å; angles 90.00, 90.00, 90.00 degrees
Space group Imma (No. 74)
One atom of each set of equivalent atoms:
K1 0.0000 0.2500 0.0911 (multiplicity 4)
Hg1 0.1242 0.2500 0.7394 (multiplicity 8)
Hg2 0.1346 0.0025 0.3042 (multiplicity 16)
Hg3 0.1396 0.2500 0.3125 (multiplicity 8)
Hg4 0.1436 0.0806 0.9161 (multiplicity 16)
Hg5 0.1462 0.2500 0.5222 (multiplicity 8)
Pb1 0.0000 0.0000 0.5000 (multiplicity 4)

Q: Which M_tot values were calculated for the entries above? A: 0.000, 3.535, 0.001, 0.000, 0.000, 0.001, 0.000, in μB per cell.